#A
# ZnTcP

A PBEsol-optimized structure of ZnTcP (SCAN, the Alexandria database).

Symmetry   I4mm (107)
Magnetization   0.00 Bohr magnetons per cell
Calculated density   8.2 g/cm3

Cell lengths 4.7567, 4.7567, 4.7567 Å; angles 142.59, 142.59, 53.95 degrees
Element x y z (fractional)
Zn1 0.0000 0.0000 0.0000
Tc1 0.3090 0.3090 0.0000
P1 0.6821 0.6821 0.0000

***

#B
# ZnTcP

A PBEsol-optimized structure of ZnTcP (SCAN, the Alexandria database).

Symmetry   F-43m (216)
Magnetization   0.37 Bohr magnetons per cell
Calculated density   7.1 g/cm3

Cell lengths 4.0075, 4.0075, 4.0075 Å; angles 60.00, 60.00, 60.00 degrees
Element x y z (fractional)
Zn1 0.0000 0.0000 0.0000
Tc1 0.7500 0.7500 0.7500
P1 0.2500 0.2500 0.2500

***

Least stable = #B

***

#A
# Y2TeP

A PBEsol-optimized structure of Y2TeP (SCAN, the Alexandria database).

Symmetry   R-3m (166)
Magnetization   0.00 Bohr magnetons per cell
Calculated density   5.6 g/cm3

Cell lengths 7.3523, 7.3523, 7.3523 Å; angles 32.09, 32.09, 32.09 degrees
Element x y z (fractional)
Y1 0.2371 0.2371 0.2371
Y2 0.7629 0.7629 0.7629
Te1 0.0000 0.0000 0.0000
P1 0.5000 0.5000 0.5000

***

#B
# Y2TeP

A PBEsol-optimized structure of Y2TeP (SCAN, the Alexandria database).

Symmetry   Fm-3m (225)
Magnetization   0.78 Bohr magnetons per cell
Calculated density   6.0 g/cm3

Cell lengths 5.0825, 5.0825, 5.0825 Å; angles 60.00, 60.00, 60.00 degrees
Element x y z (fractional)
Y1 0.2500 0.2500 0.2500
Y2 0.7500 0.7500 0.7500
Te1 0.0000 0.0000 0.0000
P1 0.5000 0.5000 0.5000

***

#C
# Y2TeP

A PBEsol-optimized structure of Y2TeP (SCAN, the Alexandria database).

Symmetry   Cmmm (65)
Magnetization   0.00 Bohr magnetons per cell
Calculated density   5.9 g/cm3

Cell lengths 3.5891, 3.5891, 7.4257 Å; angles 90.00, 90.00, 100.26 degrees
Element x y z (fractional)
Y1 0.0000 0.0000 0.2239
Y2 0.0000 0.0000 0.7761
Te1 0.5000 0.5000 0.5000
P1 0.5000 0.5000 0.0000

***

Least stable = #B

***

#A
# Y2TeP

A PBEsol-optimized structure of Y2TeP (SCAN, the Alexandria database).

Symmetry   C2/m (12)
Magnetization   0.00 Bohr magnetons per cell
Calculated density   6.0 g/cm3

Cell lengths 5.1228, 5.1228, 3.6105 Å; angles 95.45, 95.45, 90.80 degrees
Element x y z (fractional)
Y1 0.0000 0.5000 0.0000
Y2 0.5000 0.0000 0.0000
Te1 0.0000 0.0000 0.5000
P1 0.5000 0.5000 0.5000

***

#B
# Y2TeP

A PBEsol-optimized structure of Y2TeP (SCAN, the Alexandria database).

Symmetry   R3m (160)
Magnetization   0.01 Bohr magnetons per cell
Calculated density   5.6 g/cm3

Cell lengths 7.5171, 7.5171, 7.5171 Å; angles 31.02, 31.02, 31.02 degrees
Element x y z (fractional)
Y1 0.0000 0.0000 0.0000
Y2 0.1933 0.1933 0.1933
Te1 0.4296 0.4296 0.4296
P1 0.5985 0.5985 0.5985

***

Least stable = #A

***

#A
# ZnTeP2

A PBEsol-optimized structure of ZnTeP2 (SCAN, the Alexandria database).

Symmetry   Pmmm (47)
Magnetization   0.00 Bohr magnetons per cell
Calculated density   5.9 g/cm3

Cell lengths 3.3887, 4.5349, 4.6315 Å; angles 90.00, 90.00, 90.00 degrees
Element x y z (fractional)
Zn1 0.0000 0.0000 0.0000
Te1 0.5000 0.5000 0.0000
P1 0.0000 0.5000 0.5000
P2 0.5000 0.0000 0.5000

***

#B
# ZnTeP2

A PBEsol-optimized structure of ZnTeP2 (SCAN, the Alexandria database).

Symmetry   C2/m (12)
Magnetization   0.00 Bohr magnetons per cell
Calculated density   5.0 g/cm3

Cell lengths 5.6516, 5.6516, 5.1099 Å; angles 108.76, 108.76, 33.13 degrees
Element x y z (fractional)
Zn1 0.0000 0.0000 0.0000
Te1 0.5000 0.5000 0.5000
P1 0.2354 0.2354 0.1344
P2 0.7646 0.7646 0.8656

***

Least stable = #A

***

#A
# TlP2W

A PBEsol-optimized structure of TlP2W (SCAN, the Alexandria database).

Symmetry   Immm (71)
Magnetization   0.00 Bohr magnetons per cell
Calculated density   9.8 g/cm3

Cell lengths 5.8221, 5.8221, 5.8221 Å; angles 150.74, 126.82, 61.86 degrees
Element x y z (fractional)
Tl1 0.0000 0.0000 0.0000
P1 0.3079 0.8079 0.5000
P2 0.6921 0.1921 0.5000
W1 0.5000 0.5000 0.0000

***

#B
# TlP2W

A PBEsol-optimized structure of TlP2W (SCAN, the Alexandria database).

Symmetry   Cm (8)
Magnetization   0.00 Bohr magnetons per cell
Calculated density   9.3 g/cm3

Cell lengths 4.4224, 4.4224, 6.3084 Å; angles 105.23, 105.23, 42.91 degrees
Element x y z (fractional)
Tl1 0.0000 0.0000 0.0000
P1 0.6626 0.6626 0.6101
P2 0.8109 0.8109 0.2945
W1 0.3674 0.3674 0.5823

***

Least stable = #A

***

#A
# Zr2TlP

A PBEsol-optimized structure of Zr2TlP (SCAN, the Alexandria database).

Symmetry   R-3m (166)
Magnetization   0.00 Bohr magnetons per cell
Calculated density   8.3 g/cm3

Cell lengths 7.8016, 7.8016, 7.8016 Å; angles 26.50, 26.50, 26.50 degrees
Element x y z (fractional)
Zr1 0.2310 0.2310 0.2310
Zr2 0.7690 0.7690 0.7690
Tl1 0.0000 0.0000 0.0000
P1 0.5000 0.5000 0.5000

***

#B
# Zr2TlP

A PBEsol-optimized structure of Zr2TlP (SCAN, the Alexandria database).

Symmetry   C2/m (12)
Magnetization   0.00 Bohr magnetons per cell
Calculated density   8.8 g/cm3

Cell lengths 4.9037, 4.9037, 3.4034 Å; angles 97.24, 97.24, 100.81 degrees
Element x y z (fractional)
Zr1 0.0000 0.5000 0.0000
Zr2 0.5000 0.0000 0.0000
Tl1 0.0000 0.0000 0.5000
P1 0.5000 0.5000 0.5000

***

Least stable = #B